1.
TiFeSn3 | Alexandria via LeMat-Bulk | PBE-GGA | relaxed; calculated density = 5.5 g cm⁻³; energy relative to the elements = 0.80 eV per atom; DOS(E_F) = 11.0 states/eV/cell; total magnetization = 3.90 μB/f.u.; VASP energy = -24.38 eV/f.u.; SG = Pm-3m
1.0
5.179 0.000 0.000
0.000 5.179 0.000
0.000 0.000 5.179
Ti Sn Fe
1 3 1
direct
0.000 0.000 0.000
0.000 0.500 0.000
0.000 0.000 0.500
0.500 0.000 0.000
0.500 0.500 0.500

2.
TlFe2Sn | Alexandria via LeMat-Bulk | PBE-GGA | relaxed; calculated density = 9.1 g cm⁻³; energy relative to the elements = 0.74 eV per atom; DOS(E_F) = 8.5 states/eV/cell; total magnetization = 5.21 μB/f.u.; VASP energy = -20.35 eV/f.u.; SG = I-42d
1.0
7.368 0.000 0.000
0.000 7.368 0.000
3.684 3.684 2.929
Tl Sn Fe
2 2 4
direct
0.000 0.000 0.000
0.750 0.250 0.500
0.500 0.500 0.000
0.250 0.750 0.500
0.616 0.125 0.250
0.134 0.625 0.250
0.375 0.384 0.750
0.875 0.866 0.750

3.
TlFe2Sn | Alexandria via LeMat-Bulk | PBE-GGA | relaxed; calculated density = 11.4 g cm⁻³; energy relative to the elements = 0.62 eV per atom; DOS(E_F) = 5.0 states/eV/cell; total magnetization = 0.00 μB/f.u.; VASP energy = -20.81 eV/f.u.; SG = Fm-3m
1.0
0.000 3.168 3.168
3.168 0.000 3.168
3.168 3.168 0.000
Tl Sn Fe
1 1 2
direct
0.500 0.500 0.500
0.000 0.000 0.000
0.250 0.250 0.250
0.750 0.750 0.750

4.
Tl3FeSn | Alexandria via LeMat-Bulk | PBE-GGA | relaxed; calculated density = 9.7 g cm⁻³; energy relative to the elements = 0.49 eV per atom; DOS(E_F) = 7.2 states/eV/cell; total magnetization = 0.00 μB/f.u.; VASP energy = -17.11 eV/f.u.; SG = Pm-3m
1.0
5.134 0.000 0.000
0.000 5.134 0.000
0.000 0.000 5.134
Tl Sn Fe
3 1 1
direct
0.000 0.500 0.000
0.000 0.000 0.500
0.500 0.000 0.000
0.500 0.500 0.500
0.000 0.000 0.000